Entry from OQMD via LeMat-Bulk: a relaxed structure of Dy2Sb (PBE-GGA).

Cell lengths 6.216, 6.216, 6.216 Å; angles 60.00, 60.00, 60.00 degrees
Element x y z (fractional)
Dy1 0.625 0.625 0.125
Dy2 0.625 0.125 0.625
Dy3 0.125 0.625 0.625
Dy4 0.625 0.625 0.625
Sb1 0.000 0.000 0.000
Sb2 0.250 0.250 0.250

Calculated values
E_tot in eV for the cell shown: -27.1

Entry from OQMD via LeMat-Bulk: a relaxed structure of Tl2PdCl4 (PBE-GGA).

Cell lengths 4.241, 7.195, 7.195 Å; angles 89.56, 90.00, 90.00 degrees
Element x y z (fractional)
Cl1 0.000 0.228 0.228
Cl2 0.000 0.771 0.230
Cl3 0.000 0.230 0.771
Cl4 0.000 0.773 0.773
Pd1 0.000 0.000 0.000
Tl1 0.500 0.499 0.000
Tl2 0.500 0.000 0.499

Calculated values
E_tot in eV for the cell shown: -23.1

Entry from OQMD via LeMat-Bulk: a relaxed structure of SrLuAuSe3 (PBE-GGA).

Cell lengths 13.550, 4.102, 11.028 Å; angles 90.00, 90.00, 90.00 degrees
Element x y z (fractional)
Au1 0.197 0.750 0.225
Au2 0.697 0.750 0.275
Au3 0.303 0.250 0.725
Au4 0.803 0.250 0.775
Lu1 0.989 0.250 0.170
Lu2 0.489 0.250 0.330
Lu3 0.511 0.750 0.670
Lu4 0.011 0.750 0.830
Se1 0.889 0.750 0.039
Se2 0.537 0.750 0.159
Se3 0.314 0.250 0.182
Se4 0.814 0.250 0.318
Se5 0.037 0.750 0.341
Se6 0.389 0.750 0.461
Se7 0.611 0.250 0.539
Se8 0.963 0.250 0.659
Se9 0.186 0.750 0.682
Se10 0.686 0.750 0.818
Se11 0.463 0.250 0.841
Se12 0.111 0.250 0.961
Sr1 0.700 0.250 0.041
Sr2 0.200 0.250 0.459
Sr3 0.800 0.750 0.541
Sr4 0.300 0.750 0.959

Calculated values
Energy relative to the lowest polymorph listed for this composition in eV/f.u.: 0.29
E_tot in eV for the cell shown: -113.4

Entry from OQMD via LeMat-Bulk: a relaxed structure of CsFe3Si5 (PBE-GGA).

Cell lengths 4.754, 4.754, 9.151 Å; angles 90.00, 90.00, 120.00 degrees
Element x y z (fractional)
Cs1 0.000 0.000 0.000
Fe1 0.500 0.000 0.500
Fe2 0.000 0.500 0.500
Fe3 0.500 0.500 0.500
Si1 0.667 0.333 0.288
Si2 0.333 0.667 0.288
Si3 0.000 0.000 0.500
Si4 0.667 0.333 0.712
Si5 0.333 0.667 0.712

Calculated values
E_tot in eV for the cell shown: -53.5

Entry from OQMD via LeMat-Bulk: a relaxed structure of LuNbPd (PBE-GGA).

Cell lengths 4.590, 4.590, 4.590 Å; angles 60.00, 60.00, 60.00 degrees
Element x y z (fractional)
Lu1 0.000 0.000 0.000
Nb1 0.250 0.250 0.250
Pd1 0.750 0.750 0.750

Calculated values
Energy relative to the lowest polymorph listed for this composition in eV/f.u.: 2.02
Energy of formation in eV/atom: 0.76
E_tot in eV for the cell shown: -17.5

Entry from OQMD via LeMat-Bulk: a relaxed structure of Pr2InPb (PBE-GGA).

Cell lengths 6.293, 6.293, 6.169 Å; angles 90.00, 90.00, 80.38 degrees
Element x y z (fractional)
In1 0.000 0.000 0.000
In2 0.000 0.000 0.500
Pb1 0.341 0.659 0.250
Pb2 0.659 0.341 0.750
Pr1 0.464 0.141 0.250
Pr2 0.859 0.536 0.250
Pr3 0.141 0.464 0.750
Pr4 0.536 0.859 0.750

Calculated values
E_tot in eV for the cell shown: -35.6

Entry from OQMD via LeMat-Bulk: a relaxed structure of Co7As2 (PBE-GGA).

Cell lengths 2.606, 2.606, 29.498 Å; angles 90.00, 90.00, 120.00 degrees
Element x y z (fractional)
As1 0.667 0.333 0.237
As2 0.000 0.000 0.762
Co1 0.333 0.667 0.303
Co2 0.000 0.000 0.369
Co3 0.667 0.333 0.435
Co4 0.333 0.667 0.500
Co5 0.000 0.000 0.566
Co6 0.667 0.333 0.631
Co7 0.333 0.667 0.697

Calculated values
E_tot in eV for the cell shown: -57.4

Entry from OQMD via LeMat-Bulk: a relaxed structure of HfReTe (PBE-GGA).

Cell lengths 4.582, 4.582, 4.582 Å; angles 60.00, 60.00, 60.00 degrees
Element x y z (fractional)
Hf1 0.000 0.000 0.000
Re1 0.250 0.250 0.250
Te1 0.750 0.750 0.750

Calculated values
Energy relative to the lowest polymorph listed for this composition in eV/f.u.: 1.54
E_tot in eV for the cell shown: -23.7

Entry from OQMD via LeMat-Bulk: a relaxed structure of PrZrTa (PBE-GGA).

Cell lengths 4.866, 4.866, 4.866 Å; angles 60.00, 60.00, 60.00 degrees
Element x y z (fractional)
Pr1 0.250 0.250 0.250
Ta1 0.750 0.750 0.750
Zr1 0.000 0.000 0.000

Calculated values
Energy of formation in eV/atom: 1.08
E_tot in eV for the cell shown: -21.9

Entry from OQMD via LeMat-Bulk: a relaxed structure of LiPr2Ir2 (PBE-GGA).

Cell lengths 5.786, 5.786, 8.182 Å; angles 104.73, 104.73, 57.47 degrees
Element x y z (fractional)
Ir1 0.986 0.286 0.012
Ir2 0.714 0.014 0.488
Ir3 0.286 0.986 0.512
Ir4 0.014 0.714 0.988
Li1 0.874 0.126 0.250
Li2 0.126 0.874 0.750
Pr1 0.490 0.802 0.148
Pr2 0.198 0.510 0.352
Pr3 0.802 0.490 0.648
Pr4 0.510 0.198 0.852

Calculated values
E_tot in eV for the cell shown: -63.4

Entry from OQMD via LeMat-Bulk: a relaxed structure of LaGdAl2 (PBE-GGA).

Cell lengths 5.707, 5.992, 5.992 Å; angles 79.38, 90.00, 90.00 degrees
Element x y z (fractional)
Al1 0.250 0.805 0.195
Al2 0.000 0.503 0.503
Al3 0.500 0.503 0.503
Al4 0.750 0.195 0.805
Gd1 0.250 0.971 0.665
Gd2 0.750 0.665 0.971
La1 0.250 0.341 0.017
La2 0.750 0.017 0.341

Calculated values
Energy relative to the lowest polymorph listed for this composition in eV/f.u.: 0.03
E_tot in eV for the cell shown: -37.3

Entry from OQMD via LeMat-Bulk: a relaxed structure of CdPd (PBE-GGA).

Cell lengths 4.295, 4.295, 4.295 Å; angles 60.00, 60.00, 60.00 degrees
Element x y z (fractional)
Cd1 0.000 0.000 0.000
Pd1 0.250 0.250 0.250

Calculated values
Energy of formation in eV/atom: 0.44
E_tot in eV for the cell shown: -5.2

Entry from OQMD via LeMat-Bulk: a relaxed structure of Hf3Zr3NiSb2 (PBE-GGA).

Cell lengths 7.777, 7.777, 3.629 Å; angles 90.00, 90.00, 120.00 degrees
Element x y z (fractional)
Hf1 0.399 0.000 0.000
Hf2 0.000 0.399 0.000
Hf3 0.601 0.601 0.000
Ni1 0.000 0.000 0.000
Sb1 0.667 0.333 0.500
Sb2 0.333 0.667 0.500
Zr1 0.756 0.000 0.500
Zr2 0.244 0.244 0.500
Zr3 0.000 0.756 0.500

Calculated values
Energy relative to the lowest polymorph listed for this composition in eV/f.u.: 0.81
E_tot in eV for the cell shown: -73.8

Entry from OQMD via LeMat-Bulk: a relaxed structure of Er3NiTe5 (PBE-GGA).

Cell lengths 8.522, 8.522, 3.715 Å; angles 90.00, 90.00, 120.00 degrees
Element x y z (fractional)
Er1 0.646 0.000 0.000
Er2 0.354 0.354 0.000
Er3 0.000 0.646 0.000
Ni1 0.000 0.000 0.000
Te1 0.232 0.000 0.500
Te2 0.000 0.232 0.500
Te3 0.667 0.333 0.500
Te4 0.333 0.667 0.500
Te5 0.768 0.768 0.500

Calculated values
Energy relative to the lowest polymorph listed for this composition in eV/f.u.: 1.18
E_tot in eV for the cell shown: -41.6

Entry from OQMD via LeMat-Bulk: a relaxed structure of BaMg2Ni (PBE-GGA).

Cell lengths 5.243, 5.243, 5.243 Å; angles 60.00, 60.00, 60.00 degrees
Element x y z (fractional)
Ba1 0.750 0.750 0.750
Mg1 0.250 0.250 0.250
Mg2 0.500 0.500 0.500
Ni1 0.000 0.000 0.000

Calculated values
E_tot in eV for the cell shown: -9.7

Entry from OQMD via LeMat-Bulk: a relaxed structure of Nd2CuIr (PBE-GGA).

Cell lengths 5.748, 4.421, 7.900 Å; angles 90.00, 110.45, 90.00 degrees
Element x y z (fractional)
Cu1 0.851 0.750 0.213
Cu2 0.149 0.250 0.787
Ir1 0.150 0.250 0.285
Ir2 0.850 0.750 0.715
Nd1 0.272 0.750 0.075
Nd2 0.718 0.250 0.437
Nd3 0.282 0.750 0.563
Nd4 0.728 0.250 0.925

Calculated values
Energy of formation in eV/atom: -0.50
E_tot in eV for the cell shown: -48.2

Entry from OQMD via LeMat-Bulk: a relaxed structure of Tm2Si (PBE-GGA).

Cell lengths 8.715, 8.715, 8.715 Å; angles 60.00, 60.00, 60.00 degrees
Element x y z (fractional)
Si1 0.250 0.250 0.250
Si2 0.500 0.500 0.500
Tm1 0.875 0.375 0.375
Tm2 0.375 0.875 0.375
Tm3 0.375 0.375 0.375
Tm4 0.375 0.375 0.875

Calculated values
E_tot in eV for the cell shown: -21.7

Entry from OQMD via LeMat-Bulk: a relaxed structure of LuBeNO (PBE-GGA).

Cell lengths 4.450, 4.450, 4.426 Å; angles 90.00, 90.00, 90.00 degrees
Element x y z (fractional)
Be1 0.750 0.750 0.074
Be2 0.250 0.250 0.926
Lu1 0.750 0.250 0.500
Lu2 0.250 0.750 0.500
N1 0.750 0.750 0.434
N2 0.250 0.250 0.566
O1 0.750 0.250 0.000
O2 0.250 0.750 0.000

Calculated values
Energy relative to the lowest polymorph listed for this composition in eV/f.u.: 1.59
E_tot in eV for the cell shown: -56.8

Entry from OQMD via LeMat-Bulk: a relaxed structure of NdSiB4 (PBE-GGA).

Cell lengths 3.092, 3.092, 7.710 Å; angles 90.00, 90.00, 120.00 degrees
Element x y z (fractional)
B1 0.667 0.333 0.210
B2 0.333 0.667 0.210
B3 0.667 0.333 0.790
B4 0.333 0.667 0.790
Nd1 0.000 0.000 0.500
Si1 0.000 0.000 0.000

Calculated values
Energy relative to the lowest polymorph listed for this composition in eV/f.u.: 0.32
E_tot in eV for the cell shown: -36.2

Entry from OQMD via LeMat-Bulk: a relaxed structure of Zr2AsN (PBE-GGA).

Cell lengths 3.446, 3.446, 12.421 Å; angles 90.00, 90.00, 120.00 degrees
Element x y z (fractional)
As1 0.667 0.333 0.250
As2 0.333 0.667 0.750
N1 0.000 0.000 0.000
N2 0.000 0.000 0.500
Zr1 0.333 0.667 0.097
Zr2 0.333 0.667 0.403
Zr3 0.667 0.333 0.597
Zr4 0.667 0.333 0.903

Calculated values
E_tot in eV for the cell shown: -71.0

Entry from OQMD via LeMat-Bulk: a relaxed structure of LaPd2O4 (PBE-GGA).

Cell lengths 6.576, 6.576, 6.576 Å; angles 120.00, 89.99, 120.00 degrees
Element x y z (fractional)
La1 0.000 0.000 0.000
La2 0.750 0.500 0.250
O1 0.607 0.214 0.393
O2 0.178 0.786 0.393
O3 0.607 0.786 0.393
O4 0.143 0.286 0.428
O5 0.607 0.214 0.822
O6 0.143 0.714 0.857
O7 0.143 0.286 0.857
O8 0.572 0.714 0.857
Pd1 0.375 0.750 0.125
Pd2 0.375 0.250 0.625
Pd3 0.875 0.250 0.625
Pd4 0.375 0.750 0.625

Calculated values
E_tot in eV for the cell shown: -86.6

Entry from OQMD via LeMat-Bulk: a relaxed structure of Li3AuO4 (PBE-GGA).

Cell lengths 5.151, 11.948, 5.316 Å; angles 90.00, 111.89, 90.00 degrees
Element x y z (fractional)
Au1 0.000 0.003 0.000
Au2 0.000 0.257 0.000
Au3 0.000 0.744 0.000
Au4 0.000 0.873 0.500
Li1 0.500 0.142 0.000
Li2 0.500 0.382 0.000
Li3 0.000 0.499 0.000
Li4 0.500 0.602 0.000
Li5 0.500 0.869 0.000
Li6 0.500 0.008 0.500
Li7 0.000 0.139 0.500
Li8 0.500 0.270 0.500
Li9 0.000 0.380 0.500
Li10 0.500 0.494 0.500
Li11 0.000 0.607 0.500
Li12 0.500 0.726 0.500
O1 0.276 0.880 0.202
O2 0.255 0.628 0.227
O3 0.255 0.125 0.232
O4 0.243 0.373 0.236
O5 0.770 0.251 0.236
O6 0.781 0.749 0.251
O7 0.783 0.000 0.252
O8 0.736 0.497 0.269
O9 0.264 0.497 0.731
O10 0.217 0.000 0.748
O11 0.219 0.749 0.749
O12 0.230 0.251 0.764
O13 0.757 0.373 0.764
O14 0.745 0.125 0.768
O15 0.745 0.628 0.773
O16 0.724 0.880 0.798

Calculated values
Energy relative to the lowest polymorph listed for this composition in eV/f.u.: 0.98
E_tot in eV for the cell shown: -146.9

Entry from OQMD via LeMat-Bulk: a relaxed structure of TlGa2Co (PBE-GGA).

Cell lengths 4.661, 4.661, 4.661 Å; angles 60.00, 60.00, 60.00 degrees
Element x y z (fractional)
Co1 0.250 0.250 0.250
Ga1 0.000 0.000 0.000
Ga2 0.750 0.750 0.750
Tl1 0.500 0.500 0.500

Calculated values
E_tot in eV for the cell shown: -13.7

Entry from OQMD via LeMat-Bulk: a relaxed structure of LiHoCdSe3 (PBE-GGA).

Cell lengths 6.904, 6.904, 11.095 Å; angles 90.00, 90.00, 34.31 degrees
Element x y z (fractional)
Cd1 0.477 0.477 0.250
Cd2 0.523 0.523 0.750
Ho1 0.000 0.000 0.000
Ho2 0.000 0.000 0.500
Li1 0.768 0.768 0.250
Li2 0.232 0.232 0.750
Se1 0.357 0.357 0.064
Se2 0.105 0.105 0.250
Se3 0.357 0.357 0.436
Se4 0.643 0.643 0.564
Se5 0.895 0.895 0.750
Se6 0.643 0.643 0.936

Calculated values
Energy relative to the lowest polymorph listed for this composition in eV/f.u.: 0.48
E_tot in eV for the cell shown: -49.7